Entry from the Alexandria database: a relaxed structure of MnPbF3 (PBE with a Hubbard U).

```
MnPbF3
1.0
4.8158 0.0000 0.0000
0.0000 4.8158 0.0000
0.0000 0.0000 4.8158
Mn Pb F
1 1 3
direct
0.0000 0.0000 0.0000
0.5000 0.5000 0.5000
0.0000 0.5000 0.5000
0.5000 0.0000 0.5000
0.5000 0.5000 0.0000
```

uncorrected energy	-4.948	eV/atom
space group	Pm-3m, No. 221
theoretical density	4.74	g cm⁻³
distance to the lowest polymorph of the same formula	0.458	eV/atom